This record from Alexandria via LeMat-Bulk describes a relaxed structure of InSbBr. The functional is PBE-GGA.

Lattice parameters (Å, degrees): 7.933 7.933 7.933 154.91 154.91 35.78
Fractional coordinates of all 3 atoms:
1 Sb 0.691 0.691 0.000
2 Br 0.966 0.966 0.000
3 In 0.343 0.343 0.000

Results
final energy = -8.7 eV for the cell shown

---

This record from Alexandria via LeMat-Bulk describes a relaxed structure of In2SbBr2. The functional is PBE-GGA.

Lattice parameters (Å, degrees): 9.108 9.108 3.736 90.00 90.00 90.00
Fractional coordinates of all 10 atoms:
1 Sb 0.000 0.000 0.000
2 Sb 0.500 0.500 0.000
3 Br 0.358 0.858 0.000
4 Br 0.858 0.642 0.000
5 Br 0.642 0.142 0.000
6 Br 0.142 0.358 0.000
7 In 0.164 0.664 0.500
8 In 0.664 0.836 0.500
9 In 0.836 0.336 0.500
10 In 0.336 0.164 0.500

Results
final energy = -26.9 eV for the cell shown

---

This record from Alexandria via LeMat-Bulk describes a relaxed structure of In2SbBr. The functional is PBE-GGA.

Lattice parameters (Å, degrees): 5.399 5.399 5.399 60.00 60.00 60.00
Fractional coordinates of all 4 atoms:
1 Sb 0.500 0.500 0.500
2 Br 0.000 0.000 0.000
3 In 0.250 0.250 0.250
4 In 0.750 0.750 0.750

Results
final energy = -12.0 eV for the cell shown

---

This record from Alexandria via LeMat-Bulk describes a relaxed structure of InSbBr. The functional is PBE-GGA.

Lattice parameters (Å, degrees): 7.979 7.773 3.486 80.54 73.93 25.53
Fractional coordinates of all 3 atoms:
1 Sb 0.685 0.685 0.315
2 Br 0.975 0.975 0.025
3 In 0.340 0.340 0.660

Results
final energy = -8.7 eV for the cell shown

---

This record from Alexandria via LeMat-Bulk describes a relaxed structure of In4SbBr. The functional is PBE-GGA.

Lattice parameters (Å, degrees): 6.290 6.290 6.290 60.00 60.00 60.00
Fractional coordinates of all 6 atoms:
1 In 0.874 0.375 0.375
2 In 0.375 0.375 0.874
3 In 0.375 0.874 0.375
4 In 0.375 0.375 0.375
5 Sb 0.750 0.750 0.750
6 Br 0.000 0.000 0.000

Results
final energy = -16.5 eV for the cell shown

---

This record from Alexandria via LeMat-Bulk describes a relaxed structure of InSb2Br. The functional is PBE-GGA.

Lattice parameters (Å, degrees): 10.182 10.182 10.182 20.09 20.09 20.09
Fractional coordinates of all 4 atoms:
1 Sb 0.001 0.001 0.001
2 Sb 0.499 0.499 0.499
3 Br 0.250 0.250 0.250
4 In 0.750 0.750 0.750

Results
final energy = -12.2 eV for the cell shown